NdEr2Pu | PBE | relaxed

Output
E_form, eV/atom: 0.14
Offset from the most stable computed form, meV per atom: 45
Space group: No. 123
Magnetization, μB per formula unit: 6.216

Cell lengths 4.9771, 4.9818, 4.9818 Å; angles 90.00, 90.00, 90.00 degrees
With the nearest neighbours (Å) after each atom.
Atoms (fractional coordinates):
Er1 0.0000 0.0000 0.5000  4 Nd 3.52, 4 Pu 3.52, 4 Er 3.52
Er2 0.0000 0.5000 0.0000  4 Nd 3.52, 4 Pu 3.52, 4 Er 3.52
Nd1 0.5000 0.5000 0.5000  8 Er 3.52, 4 Pu 3.52
Pu1 0.5000 0.0000 0.0000  8 Er 3.52, 4 Nd 3.52